Record 1
The following is a DFT calculation (PBE) of a relaxed structure of Ca2MnOs.

Values from the calculation:
formation energy: 0.64 eV/atom
space-group type: Cmmm

Cell and atoms, written as POSCAR:
```
Ca2MnOs
1.0
3.1727 -3.1998 0.0000
3.1727 3.1998 0.0000
0.0000 0.0000 4.1293
Ca Mn Os
2 1 1
direct
0.0000 0.5000 0.0000
0.5000 0.0000 0.0000
0.0000 0.0000 0.5000
0.5000 0.5000 0.5000
```

=====

Record 2
The following is a DFT calculation (PBE) of a relaxed structure of CaTaIr2.

Values from the calculation:
formation energy: 0.07 eV/atom
space-group type: P4mm

Cell and atoms, written as POSCAR:
```
CaTaIr2
1.0
3.5678 0.0000 0.0000
0.0000 3.5678 0.0000
0.0000 0.0000 6.4392
Ca Ta Ir
1 1 2
direct
0.0000 0.0000 0.0000
0.5000 0.5000 0.6147
0.0000 0.0000 0.5080
0.5000 0.5000 0.2387
```

=====

Record 3
The following is a DFT calculation (PBE) of a relaxed structure of MoS3N.

Values from the calculation:
formation energy (no corrections): 1.11 eV per atom
space-group type: Pm-3m

Cell and atoms, written as POSCAR:
```
MoS3N
1.0
4.0303 0.0000 0.0000
0.0000 4.0303 0.0000
0.0000 0.0000 4.0303
Mo S N
1 3 1
direct
0.0000 0.0000 0.0000
0.0000 0.5000 0.5000
0.5000 0.0000 0.5000
0.5000 0.5000 0.0000
0.5000 0.5000 0.5000
```

=====

Record-wise Fermi-level density of states values, in states/eV per cell: 2.855; 3.517; 2.357
Record-wise energy relative to the lowest polymorph listed for this composition values, in meV/atom: 302; 546; 57
Record-wise calculated volume values, in Å³/cell: 83.8; 82.0; 65.5